1.
The following is a PBE-GGA calculation of an optimized crystal structure of K4Au, from the Alexandria database.

- Energy above the most stable polymorph in this dataset: 0.003 eV/atom
- Crystal system: cubic

Cell: 6.6201 6.6201 6.6201 Å, 90.00 90.00 90.00°
Last column: nearest neighbours and their distance in Å.
Fractional coordinates of all 5 atoms:
K1 0.0000 0.0000 0.0000  12 K 4.68
K2 0.0000 0.5000 0.5000  2 Au 3.31
K3 0.5000 0.0000 0.5000  2 Au 3.31
K4 0.5000 0.5000 0.0000  2 Au 3.31
Au1 0.5000 0.5000 0.5000  6 K 3.31



2.
The following is a PBE-GGA calculation of an optimized crystal structure of K3Au2, from the Alexandria database.

- Energy above the most stable polymorph in this dataset: 0.067 eV/atom
- Crystal system: trigonal

Cell: 4.6991 4.6991 35.9071 Å, 90.00 90.00 120.00°
Last column: nearest neighbours and their distance in Å.
Fractional coordinates of all 15 atoms:
K1 0.0000 0.0000 0.0000  6 Au 3.41
K2 0.0000 0.0000 0.2230  3 Au 3.31
K3 0.0000 0.0000 0.7770  3 Au 3.31
K4 0.3333 0.6667 0.4437  3 Au 3.31
K5 0.3333 0.6667 0.6667  6 Au 3.41
K6 0.3333 0.6667 0.8897  3 Au 3.31
K7 0.6667 0.3333 0.1103  3 Au 3.31
K8 0.6667 0.3333 0.3333  6 Au 3.41
K9 0.6667 0.3333 0.5563  3 Au 3.31
Au1 0.0000 0.0000 0.3907  6 K 3.31-3.41
Au2 0.0000 0.0000 0.6093  6 K 3.31-3.41
Au3 0.3333 0.6667 0.0574  6 K 3.31-3.41
Au4 0.3333 0.6667 0.2759  6 K 3.31-3.41
Au5 0.6667 0.3333 0.7241  6 K 3.31-3.41
Au6 0.6667 0.3333 0.9426  6 K 3.31-3.41



3.
The following is a PBE-GGA calculation of an optimized crystal structure of K3Au2, from the Alexandria database.

- Energy above the most stable polymorph in this dataset: 0.066 eV/atom
- Crystal system: trigonal

Cell: 9.1968 9.1968 9.1968 Å, 52.45 52.45 52.45°
Last column: nearest neighbours and their distance in Å.
Fractional coordinates of all 10 atoms:
K1 0.0701 0.7500 0.4299  4 Au 3.33-3.34
K2 0.2500 0.5701 0.9299  4 Au 3.33-3.34
K3 0.4299 0.0701 0.7500  4 Au 3.33-3.34
K4 0.5701 0.9299 0.2500  4 Au 3.33-3.34
K5 0.7500 0.4299 0.0701  4 Au 3.33-3.34
K6 0.9299 0.2500 0.5701  4 Au 3.33-3.34
Au1 0.1614 0.1614 0.1614  6 K 3.33-3.34
Au2 0.3386 0.3386 0.3386  6 K 3.33-3.34
Au3 0.6614 0.6614 0.6614  6 K 3.33-3.34
Au4 0.8386 0.8386 0.8386  6 K 3.33-3.34



4.
The following is a PBE-GGA calculation of an optimized crystal structure of KAu3, from the Alexandria database.

- Energy above the most stable polymorph in this dataset: 0.326 eV/atom
- Crystal system: tetragonal

Cell: 4.2745 4.2745 9.3526 Å, 90.00 90.00 90.00°
Last column: nearest neighbours and their distance in Å.
Fractional coordinates of all 8 atoms:
K1 0.0000 0.0000 0.0000  12 Au 3.02-3.17
K2 0.5000 0.5000 0.5000  12 Au 3.02-3.17
Au1 0.0000 0.0000 0.5000  4 K 3.02, 8 Au 3.17
Au2 0.0000 0.5000 0.2500  8 Au 3.02-3.17, 4 K 3.17
Au3 0.0000 0.5000 0.7500  8 Au 3.02-3.17, 4 K 3.17
Au4 0.5000 0.0000 0.2500  8 Au 3.02-3.17, 4 K 3.17
Au5 0.5000 0.0000 0.7500  8 Au 3.02-3.17, 4 K 3.17
Au6 0.5000 0.5000 0.0000  4 K 3.02, 8 Au 3.17



5.
The following is a PBE-GGA calculation of an optimized crystal structure of KAu3, from the Alexandria database.

- Energy above the most stable polymorph in this dataset: 0.290 eV/atom
- Crystal system: tetragonal

Cell: 5.5110 5.5110 2.8612 Å, 90.00 90.00 90.00°
Last column: nearest neighbours and their distance in Å.
Fractional coordinates of all 4 atoms:
K1 0.0000 0.0000 0.0000  2 K 2.86, 8 Au 3.10
Au1 0.0000 0.5000 0.5000  6 Au 2.86-3.10, 4 K 3.10
Au2 0.5000 0.0000 0.5000  6 Au 2.86-3.10, 4 K 3.10
Au3 0.5000 0.5000 0.0000  10 Au 2.86-3.10



6.
The following is a PBE-GGA calculation of an optimized crystal structure of K2Au3, from the Alexandria database.

- Energy above the most stable polymorph in this dataset: 0.091 eV/atom
- Crystal system: trigonal

Cell: 4.7333 4.7333 25.3205 Å, 90.00 90.00 120.00°
Last column: nearest neighbours and their distance in Å.
Fractional coordinates of all 15 atoms:
K1 0.0000 0.0000 0.0891  9 Au 3.37-3.55
K2 0.0000 0.0000 0.9109  9 Au 3.37-3.55
K3 0.3333 0.6667 0.5776  9 Au 3.37-3.55
K4 0.3333 0.6667 0.7557  9 Au 3.37-3.55
K5 0.6667 0.3333 0.2443  9 Au 3.37-3.55
K6 0.6667 0.3333 0.4224  9 Au 3.37-3.55
Au1 0.0000 0.0000 0.3341  3 Au 2.73
Au2 0.0000 0.0000 0.5000  6 K 3.37
Au3 0.0000 0.0000 0.6659  3 Au 2.73
Au4 0.3333 0.6667 0.0007  3 Au 2.73
Au5 0.3333 0.6667 0.1667  6 K 3.37
Au6 0.3333 0.6667 0.3326  3 Au 2.73
Au7 0.6667 0.3333 0.6674  3 Au 2.73
Au8 0.6667 0.3333 0.8333  6 K 3.37
Au9 0.6667 0.3333 0.9993  3 Au 2.73



7.
The following is a PBE-GGA calculation of an optimized crystal structure of K2Au3, from the Alexandria database.

- Energy above the most stable polymorph in this dataset: 0.004 eV/atom
- Crystal system: orthorhombic

Cell: 6.2221 6.2221 8.9739 Å, 90.00 90.00 125.66°
Last column: nearest neighbours and their distance in Å.
Fractional coordinates of all 10 atoms:
K1 0.1686 0.8314 0.9101  8 Au 3.35-3.53, 2 K 3.73
K2 0.3314 0.6686 0.4101  8 Au 3.35-3.53, 2 K 3.73
K3 0.6686 0.3314 0.5899  8 Au 3.35-3.53, 2 K 3.73
K4 0.8314 0.1686 0.0899  8 Au 3.35-3.53, 2 K 3.73
Au1 0.0000 0.0000 0.5000  4 Au 2.78
Au2 0.1769 0.3231 0.7500  4 Au 2.78-2.84
Au3 0.3231 0.1769 0.2500  4 Au 2.78-2.84
Au4 0.5000 0.5000 0.0000  4 Au 2.78
Au5 0.6769 0.8231 0.7500  4 Au 2.78-2.84
Au6 0.8231 0.6769 0.2500  4 Au 2.78-2.84



8.
The following is a PBE-GGA calculation of an optimized crystal structure of KAu3, from the Alexandria database.

- Energy above the most stable polymorph in this dataset: 0.416 eV/atom
- Crystal system: hexagonal

Cell: 3.0786 3.0786 10.2582 Å, 90.00 90.00 120.00°
Last column: nearest neighbours and their distance in Å.
Fractional coordinates of all 4 atoms:
K1 0.0000 0.0000 0.0000  6 K 3.08, 6 Au 3.30
Au1 0.0000 0.0000 0.5000  12 Au 2.95-3.08
Au2 0.3333 0.6667 0.2710  9 Au 2.95-3.08
Au3 0.3333 0.6667 0.7290  9 Au 2.95-3.08



9.
The following is a PBE-GGA calculation of an optimized crystal structure of KAu3, from the Alexandria database.

- Energy above the most stable polymorph in this dataset: 0.200 eV/atom
- Crystal system: orthorhombic

Cell: 2.8509 4.3685 7.3611 Å, 90.00 90.00 90.00°
Last column: nearest neighbours and their distance in Å.
Fractional coordinates of all 4 atoms:
K1 0.0000 0.0000 0.0000  2 K 2.85
Au1 0.0000 0.0000 0.5000  10 Au 2.85-2.99
Au2 0.5000 0.5000 0.3017  7 Au 2.85-2.99
Au3 0.5000 0.5000 0.6983  7 Au 2.85-2.99



10.
The following is a PBE-GGA calculation of an optimized crystal structure of K4Au, from the Alexandria database.

- Energy above the most stable polymorph in this dataset: 0.028 eV/atom
- Crystal system: cubic

Cell: 8.1086 8.1086 8.1086 Å, 90.00 90.00 90.00°
Last column: nearest neighbours and their distance in Å.
Fractional coordinates of all 10 atoms:
K1 0.2500 0.2500 0.2500  2 Au 3.51
K2 0.2500 0.2500 0.7500  2 Au 3.51
K3 0.2500 0.7500 0.2500  2 Au 3.51
K4 0.2500 0.7500 0.7500  2 Au 3.51
K5 0.7500 0.2500 0.2500  2 Au 3.51
K6 0.7500 0.2500 0.7500  2 Au 3.51
K7 0.7500 0.7500 0.2500  2 Au 3.51
K8 0.7500 0.7500 0.7500  2 Au 3.51
Au1 0.0000 0.0000 0.0000  8 K 3.51
Au2 0.5000 0.5000 0.5000  8 K 3.51



11.
The following is a PBE-GGA calculation of an optimized crystal structure of K5Au3, from the Alexandria database.

- Energy above the most stable polymorph in this dataset: 0.027 eV/atom
- Crystal system: hexagonal

Cell: 9.8904 9.8904 7.0942 Å, 90.00 90.00 120.00°
Last column: nearest neighbours and their distance in Å.
Fractional coordinates of all 16 atoms:
K1 0.0000 0.2611 0.2500  5 Au 3.41-3.78
K2 0.0000 0.7389 0.7500  5 Au 3.41-3.78
K3 0.2611 0.0000 0.2500  5 Au 3.41-3.78
K4 0.2611 0.2611 0.7500  5 Au 3.41-3.78
K5 0.3333 0.6667 0.0000  6 Au 3.52, 2 K 3.55
K6 0.3333 0.6667 0.5000  6 Au 3.52, 2 K 3.55
K7 0.6667 0.3333 0.0000  6 Au 3.52, 2 K 3.55
K8 0.6667 0.3333 0.5000  6 Au 3.52, 2 K 3.55
K9 0.7389 0.0000 0.7500  5 Au 3.41-3.78
K10 0.7389 0.7389 0.2500  5 Au 3.41-3.78
Au1 0.0000 0.3941 0.7500  9 K 3.41-3.78
Au2 0.0000 0.6059 0.2500  9 K 3.41-3.78
Au3 0.3941 0.0000 0.7500  9 K 3.41-3.78
Au4 0.3941 0.3941 0.2500  9 K 3.41-3.78
Au5 0.6059 0.0000 0.2500  9 K 3.41-3.78
Au6 0.6059 0.6059 0.7500  9 K 3.41-3.78



12.
The following is a PBE-GGA calculation of an optimized crystal structure of K3Au2, from the Alexandria database.

- Energy above the most stable polymorph in this dataset: 0.000 eV/atom
- Crystal system: orthorhombic

Cell: 5.0587 7.4521 9.5262 Å, 90.00 90.00 90.00°
Last column: nearest neighbours and their distance in Å.
Fractional coordinates of all 10 atoms:
K1 0.0000 0.0000 0.0000  4 Au 3.41, 4 K 3.79
K2 0.0000 0.5000 0.2039  6 Au 3.50-3.63, 3 K 3.79-3.88
K3 0.0000 0.5000 0.7961  6 Au 3.50-3.63, 3 K 3.79-3.88
K4 0.5000 0.0000 0.2961  6 Au 3.50-3.63, 3 K 3.79-3.88
K5 0.5000 0.0000 0.7039  6 Au 3.50-3.63, 3 K 3.79-3.88
K6 0.5000 0.5000 0.5000  4 Au 3.41, 4 K 3.79
Au1 0.0000 0.1927 0.5000  1 Au 2.87
Au2 0.0000 0.8073 0.5000  1 Au 2.87
Au3 0.5000 0.3073 0.0000  1 Au 2.87
Au4 0.5000 0.6927 0.0000  1 Au 2.87



13.
The following is a PBE-GGA calculation of an optimized crystal structure of KAu3, from the Alexandria database.

- Energy above the most stable polymorph in this dataset: 0.022 eV/atom
- Crystal system: orthorhombic

Cell: 4.8207 8.4156 5.9082 Å, 90.00 90.00 90.00°
Last column: nearest neighbours and their distance in Å.
Fractional coordinates of all 8 atoms:
K1 0.2500 0.2500 0.0005  4 Au 3.28
K2 0.7500 0.7500 0.9995  4 Au 3.28
Au1 0.2500 0.0814 0.5003  6 Au 2.77-2.84
Au2 0.2500 0.4186 0.5003  6 Au 2.77-2.84
Au3 0.2500 0.7500 0.4997  6 Au 2.79-2.80
Au4 0.7500 0.2500 0.5003  6 Au 2.79-2.80
Au5 0.7500 0.5814 0.4997  6 Au 2.77-2.84
Au6 0.7500 0.9186 0.4997  6 Au 2.77-2.84



14.
The following is a PBE-GGA calculation of an optimized crystal structure of KAu3, from the Alexandria database.

- Energy above the most stable polymorph in this dataset: 0.448 eV/atom
- Crystal system: trigonal

Cell: 3.0826 3.0826 30.6495 Å, 90.00 90.00 120.00°
Last column: nearest neighbours and their distance in Å.
Fractional coordinates of all 12 atoms:
K1 0.0000 0.0000 0.0000  6 K 3.08, 6 Au 3.29
K2 0.3333 0.6667 0.6667  6 K 3.08, 6 Au 3.29
K3 0.6667 0.3333 0.3333  6 K 3.08, 6 Au 3.29
Au1 0.0000 0.0000 0.2429  9 Au 2.94-3.08
Au2 0.0000 0.0000 0.5000  12 Au 2.94-3.08
Au3 0.0000 0.0000 0.7571  9 Au 2.94-3.08
Au4 0.3333 0.6667 0.1667  12 Au 2.94-3.08
Au5 0.3333 0.6667 0.4237  9 Au 2.94-3.08
Au6 0.3333 0.6667 0.9096  9 Au 2.94-3.08
Au7 0.6667 0.3333 0.0904  9 Au 2.94-3.08
Au8 0.6667 0.3333 0.5763  9 Au 2.94-3.08
Au9 0.6667 0.3333 0.8333  12 Au 2.94-3.08



15.
The following is a PBE-GGA calculation of an optimized crystal structure of KAu3, from the Alexandria database.

- Energy above the most stable polymorph in this dataset: 0.220 eV/atom
- Crystal system: orthorhombic

Cell: 7.5880 12.3103 4.4992 Å, 90.00 90.00 90.00°
Last column: nearest neighbours and their distance in Å.
Fractional coordinates of all 16 atoms:
K1 0.0000 0.1577 0.2500  10 Au 3.36-3.67
K2 0.0000 0.8423 0.7500  10 Au 3.36-3.67
K3 0.5000 0.3423 0.7500  10 Au 3.36-3.67
K4 0.5000 0.6577 0.2500  10 Au 3.36-3.67
Au1 0.0000 0.3605 0.7500  6 Au 2.83-2.97
Au2 0.0000 0.6395 0.2500  6 Au 2.83-2.97
Au3 0.1951 0.4305 0.2500  6 Au 2.83-2.97
Au4 0.1951 0.5695 0.7500  6 Au 2.83-2.97
Au5 0.3049 0.0695 0.7500  6 Au 2.83-2.97
Au6 0.3049 0.9305 0.2500  6 Au 2.83-2.97
Au7 0.5000 0.1395 0.2500  6 Au 2.83-2.97
Au8 0.5000 0.8605 0.7500  6 Au 2.83-2.97
Au9 0.6951 0.0695 0.7500  6 Au 2.83-2.97
Au10 0.6951 0.9305 0.2500  6 Au 2.83-2.97
Au11 0.8049 0.4305 0.2500  6 Au 2.83-2.97
Au12 0.8049 0.5695 0.7500  6 Au 2.83-2.97



16.
The following is a PBE-GGA calculation of an optimized crystal structure of K4Au, from the Alexandria database.

- Energy above the most stable polymorph in this dataset: 0.007 eV/atom
- Crystal system: tetragonal

Cell: 11.1520 11.1520 4.2497 Å, 90.00 90.00 90.00°
Last column: nearest neighbours and their distance in Å.
Fractional coordinates of all 10 atoms:
K1 0.0547 0.7563 0.0000  2 Au 3.50
K2 0.2437 0.0547 0.0000  2 Au 3.50
K3 0.2563 0.4453 0.5000  2 Au 3.50
K4 0.4453 0.7437 0.5000  2 Au 3.50
K5 0.5547 0.2563 0.5000  2 Au 3.50
K6 0.7437 0.5547 0.5000  2 Au 3.50
K7 0.7563 0.9453 0.0000  2 Au 3.50
K8 0.9453 0.2437 0.0000  2 Au 3.50
Au1 0.0000 0.0000 0.5000  8 K 3.50
Au2 0.5000 0.5000 0.0000  8 K 3.50



17.
The following is a PBE-GGA calculation of an optimized crystal structure of KAu3, from the Alexandria database.

- Energy above the most stable polymorph in this dataset: 0.379 eV/atom
- Crystal system: cubic

Cell: 7.0776 7.0776 7.0776 Å, 90.00 90.00 90.00°
Last column: nearest neighbours and their distance in Å.
Fractional coordinates of all 16 atoms:
K1 0.0000 0.0000 0.0000  8 Au 3.06
K2 0.0000 0.5000 0.5000  8 Au 3.06
K3 0.5000 0.0000 0.5000  8 Au 3.06
K4 0.5000 0.5000 0.0000  8 Au 3.06
Au1 0.0000 0.0000 0.5000  8 Au 3.06
Au2 0.0000 0.5000 0.0000  8 Au 3.06
Au3 0.2500 0.2500 0.2500  4 K 3.06, 4 Au 3.06
Au4 0.2500 0.2500 0.7500  4 K 3.06, 4 Au 3.06
Au5 0.2500 0.7500 0.2500  4 K 3.06, 4 Au 3.06
Au6 0.2500 0.7500 0.7500  4 K 3.06, 4 Au 3.06
Au7 0.5000 0.0000 0.0000  8 Au 3.06
Au8 0.5000 0.5000 0.5000  8 Au 3.06
Au9 0.7500 0.2500 0.2500  4 K 3.06, 4 Au 3.06
Au10 0.7500 0.2500 0.7500  4 K 3.06, 4 Au 3.06
Au11 0.7500 0.7500 0.2500  4 K 3.06, 4 Au 3.06
Au12 0.7500 0.7500 0.7500  4 Au 3.06, 4 K 3.06



18.
The following is a PBE-GGA calculation of an optimized crystal structure of KLaAu, from the Alexandria database.

- Energy above the most stable polymorph in this dataset: 0.213 eV/atom
- Crystal system: trigonal

Cell: 4.3157 4.3157 7.9155 Å, 90.00 90.00 120.00°
Last column: nearest neighbours and their distance in Å.
Fractional coordinates of all 3 atoms:
K1 0.0000 0.0000 0.0000  3 Au 3.44
La1 0.3333 0.6667 0.5026  3 Au 2.94
Au1 0.6667 0.3333 0.7005  3 La 2.94



19.
The following is a PBE-GGA calculation of an optimized crystal structure of K4LaAu, from the Alexandria database.

- Crystal system: cubic

Cell: 7.4173 7.4173 7.4173 Å, 60.00 60.00 60.00°
Last column: nearest neighbours and their distance in Å.
Fractional coordinates of all 6 atoms:
K1 0.3762 0.3762 0.3762  6 K 3.67-3.74
K2 0.3762 0.3762 0.8714  6 K 3.67-3.74
K3 0.3762 0.8714 0.3762  6 K 3.67-3.74
K4 0.8714 0.3762 0.3762  6 K 3.67-3.74
La1 0.0000 0.0000 0.0000  12 K 4.35, 4 Au 4.54
Au1 0.7500 0.7500 0.7500  12 K 4.35, 4 La 4.54



20.
The following is a PBE-GGA calculation of an optimized crystal structure of KLaAu, from the Alexandria database.

- Energy above the most stable polymorph in this dataset: 0.136 eV/atom
- Crystal system: tetragonal

Cell: 3.8894 3.8894 15.0133 Å, 90.00 90.00 90.00°
Last column: nearest neighbours and their distance in Å.
Fractional coordinates of all 6 atoms:
K1 0.0000 0.0000 0.0000  4 Au 3.67, 1 La 3.80, 4 K 3.89
K2 0.5000 0.5000 0.5000  4 Au 3.67, 1 La 3.80, 4 K 3.89
La1 0.0000 0.0000 0.2529  4 Au 3.07
La2 0.5000 0.5000 0.7529  4 Au 3.07
Au1 0.0000 0.0000 0.6623  4 La 3.07
Au2 0.5000 0.5000 0.1623  4 La 3.07



Respective E_tot values: -1.655, -2.177, -2.178, -2.661, -2.697, -2.655, -2.742, -2.571, -2.787, -1.629, -2.157, -2.244, -2.965, -2.539, -2.766, -1.650, -2.608, -3.309, -1.564, -3.386 eV per atom.